(1)
DFT (PBE-GGA) results for a relaxed Cs2In3Ag crystal.

## Properties
Energy of formation from the pure elements, eV per formula unit: 0.060

Lattice parameters (Å, degrees): 7.594 8.648 8.965 104.98 90.00 116.04
Element x y z (fractional)
Ag 0.815 0.000 0.250
In 0.890 0.785 0.946
In 0.802 0.000 0.750
In 0.895 0.785 0.446
Cs 0.663 0.333 0.583
Cs 0.330 0.667 0.917
Cs 0.670 0.333 0.083
In 0.110 0.215 0.054
In 0.198 0.000 0.250
Cs 0.337 0.667 0.417
Ag 0.185 0.000 0.750
In 0.105 0.215 0.554


(2)
DFT (PBE-GGA) results for a relaxed Cs3In5Ag2 crystal.

## Properties
Energy of formation from the pure elements, eV per formula unit: -0.472

Lattice parameters (Å, degrees): 7.492 10.511 10.511 71.97 69.12 69.12
Element x y z (fractional)
Cs 0.250 0.000 0.000
In 0.117 0.521 0.245
Cs 0.750 0.000 0.000
Ag 0.167 0.694 0.973
Cs 0.873 0.877 0.376
Cs 0.627 0.624 0.123
Cs 0.127 0.123 0.624
Cs 0.373 0.376 0.877
In 0.486 0.264 0.264
In 0.514 0.736 0.736
In 0.986 0.264 0.264
In 0.617 0.245 0.521
Ag 0.333 0.027 0.306
In 0.014 0.736 0.736
In 0.383 0.755 0.479
Ag 0.833 0.306 0.027
In 0.883 0.479 0.755
In 0.250 0.500 0.500
In 0.750 0.500 0.500
Ag 0.667 0.973 0.694


(3)
DFT (PBE-GGA) results for a relaxed Cs2In2Ag crystal.

## Properties
Energy of formation from the pure elements, eV per formula unit: 0.364

Lattice parameters (Å, degrees): 7.768 7.768 6.547 90.00 90.00 90.00
Element x y z (fractional)
In 0.134 0.366 0.000
Cs 0.814 0.314 0.500
In 0.866 0.634 0.000
Cs 0.186 0.686 0.500
Ag 0.500 0.500 0.000
In 0.366 0.866 0.000
In 0.634 0.134 0.000
Cs 0.314 0.186 0.500
Cs 0.686 0.814 0.500
Ag 0.000 0.000 0.000


(4)
DFT (PBE-GGA) results for a relaxed CsIn3Ag2 crystal.

## Properties
Energy of formation from the pure elements, eV per formula unit: -0.282

Lattice parameters (Å, degrees): 4.957 8.939 9.407 111.38 90.00 106.10
Element x y z (fractional)
In 0.984 0.969 0.680
In 0.016 0.031 0.320
In 0.414 0.827 0.352
Ag 0.485 0.970 0.843
Ag 0.838 0.676 0.400
Cs 0.166 0.333 0.078
In 0.676 0.352 0.420
In 0.324 0.648 0.580
Cs 0.834 0.667 0.922
In 0.586 0.173 0.648
Ag 0.162 0.324 0.600
Ag 0.515 0.030 0.157


(5)
DFT (PBE-GGA) results for a relaxed Cs3In4Ag crystal.

## Properties
Energy of formation from the pure elements, eV per formula unit: -0.331

Lattice parameters (Å, degrees): 7.045 6.522 15.628 90.00 90.00 90.00
Element x y z (fractional)
Cs 0.212 0.000 0.737
In 0.301 0.500 0.102
Cs 0.494 0.500 0.500
Cs 0.788 0.500 0.237
In 0.699 0.000 0.398
In 0.993 0.268 0.500
Cs 0.212 0.000 0.263
In 0.301 0.500 0.898
In 0.699 0.000 0.602
Ag 0.664 0.500 0.000
In 0.007 0.232 0.000
In 0.007 0.768 0.000
Cs 0.506 0.000 0.000
Cs 0.788 0.500 0.763
Ag 0.336 0.000 0.500
In 0.993 0.732 0.500


(6)
DFT (PBE-GGA) results for a relaxed Cs2InAg crystal.

## Properties
Energy of formation from the pure elements, eV per formula unit: 1.332

Lattice parameters (Å, degrees): 4.481 4.481 13.078 80.14 80.14 60.00
Element x y z (fractional)
Ag 0.500 0.500 0.500
Cs 0.900 0.900 0.301
In 0.000 0.000 0.000
Cs 0.100 0.100 0.699


(7)
DFT (PBE-GGA) results for a relaxed CsInAg2 crystal.

## Properties
Energy of formation from the pure elements, eV per formula unit: -0.227

Lattice parameters (Å, degrees): 4.912 7.233 7.893 90.00 90.00 90.00
Element x y z (fractional)
Ag 0.500 0.426 0.182
Cs 0.500 0.899 0.000
Ag 0.000 0.574 0.318
In 0.500 0.624 0.500
Ag 0.500 0.426 0.818
Ag 0.000 0.574 0.682
In 0.000 0.376 0.000
Cs 0.000 0.101 0.500


(8)
DFT (PBE-GGA) results for a relaxed CsIn3Ag crystal.

## Properties
Energy of formation from the pure elements, eV per formula unit: 0.302

Lattice parameters (Å, degrees): 6.488 7.514 7.521 120.02 90.00 90.00
Element x y z (fractional)
In 0.750 0.631 0.815
In 0.750 0.185 0.816
In 0.750 0.185 0.369
In 0.250 0.815 0.631
Ag 0.500 0.000 0.000
Cs 0.750 0.667 0.334
In 0.250 0.369 0.185
In 0.250 0.815 0.184
Ag 0.000 0.000 0.000
Cs 0.250 0.333 0.666